1.
First-principles (GGA-PBE) data for a relaxed Rb2Pr2Te2Se crystal, as listed in the Alexandria database.

Unit cell a=9.9763 b=9.9763 c=9.9763 alpha=146.99 beta=146.99 gamma=47.38
Positions (direct):
Rb1 0.1867 0.1867 0.0000
Rb2 0.8133 0.8133 0.0000
Pr1 0.0000 0.5000 0.5000
Pr2 0.5000 0.0000 0.5000
Te1 0.3901 0.3901 0.0000
Te2 0.6099 0.6099 0.0000
Se1 0.0000 0.0000 0.0000

Output
**Symmetry**: I4/mmm (139)
**ΔE_f (raw)**: -1.171 eV/atom
**Density of states at the Fermi level**: 0.817 states/eV per atom
**E**: -4.21 eV per atom

2.
First-principles (GGA-PBE) data for a relaxed Pb6Au crystal, as listed in the Alexandria database.

Unit cell a=8.3580 b=8.3580 c=8.3580 alpha=118.06 beta=118.06 gamma=118.06
Positions (direct):
Pb1 0.0253 0.2824 0.4335
Pb2 0.2824 0.4335 0.0253
Pb3 0.4335 0.0253 0.2824
Pb4 0.5665 0.9747 0.7176
Pb5 0.7176 0.5665 0.9747
Pb6 0.9747 0.7176 0.5665
Au1 0.5000 0.5000 0.5000

Output
**Symmetry**: R-3 (148)
**Density of states at the Fermi level**: 0.499 states/eV per atom
**Energy above the most stable polymorph in this dataset**: 0.00 eV/f.u.
**E**: -3.62 eV per atom

3.
First-principles (GGA-PBE) data for a relaxed SmTh3Sc3 crystal, as listed in the Alexandria database.

Unit cell a=7.7394 b=7.7394 c=7.7394 alpha=72.15 beta=72.15 gamma=72.15
Positions (direct):
Sm1 0.2494 0.2494 0.2494
Sm2 0.7506 0.7506 0.7506
Th1 0.1769 0.4587 0.6158
Th2 0.3842 0.8231 0.5413
Th3 0.4587 0.6158 0.1769
Th4 0.5413 0.3842 0.8231
Th5 0.6158 0.1769 0.4587
Th6 0.8231 0.5413 0.3842
Sc1 0.0355 0.8894 0.3154
Sc2 0.1106 0.6846 0.9645
Sc3 0.3154 0.0355 0.8894
Sc4 0.6846 0.9645 0.1106
Sc5 0.8894 0.3154 0.0355
Sc6 0.9645 0.1106 0.6846

Output
**Symmetry**: R-3 (148)
**Density of states at the Fermi level**: 1.583 states/eV per atom
**E**: -6.50 eV per atom